Record 1
# BiNF2

An optimized crystal structure of BiNF2 (GGA-PBE, Alexandria).

abc: 3.648 3.648 16.045
angles: 90.00 90.00 90.00
Element x y z (fractional)
Bi  0.000  0.000  0.000
Bi  0.000  0.500  0.250
Bi  0.500  0.000  0.750
Bi  0.500  0.500  0.500
N  0.000  0.000  0.500
N  0.000  0.500  0.750
N  0.500  0.000  0.250
N  0.500  0.500  0.000
F  0.235  0.250  0.125
F  0.250  0.735  0.375
F  0.250  0.765  0.875
F  0.265  0.250  0.625
F  0.735  0.750  0.625
F  0.750  0.235  0.875
F  0.750  0.265  0.375
F  0.765  0.750  0.125

Calculated values
SG = I-42d
Energy = -4.346 eV per atom

Record 2
# ReB2Au

An optimized crystal structure of ReB2Au (GGA-PBE, Alexandria).

abc: 4.997 4.997 9.368
angles: 90.00 90.00 90.00
Element x y z (fractional)
Re  0.000  0.000  0.000
Re  0.000  0.500  0.250
Re  0.500  0.000  0.750
Re  0.500  0.500  0.500
B  0.226  0.250  0.125
B  0.250  0.726  0.375
B  0.250  0.774  0.875
B  0.274  0.250  0.625
B  0.726  0.750  0.625
B  0.750  0.226  0.875
B  0.750  0.274  0.375
B  0.774  0.750  0.125
Au  0.000  0.000  0.500
Au  0.000  0.500  0.750
Au  0.500  0.000  0.250
Au  0.500  0.500  0.000

Calculated values
SG = I-42d
Energy of formation = 3.0 eV/f.u.

Record 3
# Pr2Nd5Th

An optimized crystal structure of Pr2Nd5Th (GGA-PBE, Alexandria).

abc: 7.329 14.673 5.233
angles: 90.00 90.00 90.00
Element x y z (fractional)
Pr  0.244  0.122  0.000
Pr  0.256  0.622  0.000
Pr  0.744  0.378  0.000
Pr  0.756  0.878  0.000
Nd  0.000  0.500  0.500
Nd  0.001  0.248  0.500
Nd  0.242  0.878  0.000
Nd  0.258  0.378  0.000
Nd  0.499  0.748  0.500
Nd  0.500  0.000  0.500
Nd  0.501  0.252  0.500
Nd  0.742  0.622  0.000
Nd  0.758  0.122  0.000
Nd  0.999  0.752  0.500
Th  0.000  0.000  0.500
Th  0.500  0.500  0.500

Calculated values
SG = Pbam
Energy of formation = 0.3 eV/f.u.

Record 4
# AlPbW2

An optimized crystal structure of AlPbW2 (GGA-PBE, Alexandria).

abc: 6.557 6.557 6.557
angles: 90.00 90.00 90.00
Element x y z (fractional)
Al  0.000  0.000  0.000
Al  0.000  0.500  0.500
Al  0.500  0.000  0.500
Al  0.500  0.500  0.000
Pb  0.000  0.000  0.500
Pb  0.000  0.500  0.000
Pb  0.500  0.000  0.000
Pb  0.500  0.500  0.500
W  0.250  0.250  0.250
W  0.250  0.250  0.750
W  0.250  0.750  0.250
W  0.250  0.750  0.750
W  0.750  0.250  0.250
W  0.750  0.250  0.750
W  0.750  0.750  0.250
W  0.750  0.750  0.750

Calculated values
SG = Fm-3m
Energy of formation = 3.7 eV/f.u.

Record 5
# Pm12AlPt6

An optimized crystal structure of Pm12AlPt6 (GGA-PBE, Alexandria).

abc: 8.573 8.573 8.573
angles: 101.39 101.39 101.39
Element x y z (fractional)
Pm  0.069  0.927  0.672
Pm  0.073  0.328  0.931
Pm  0.176  0.575  0.419
Pm  0.328  0.931  0.073
Pm  0.419  0.176  0.575
Pm  0.425  0.581  0.824
Pm  0.575  0.419  0.176
Pm  0.581  0.824  0.425
Pm  0.672  0.069  0.927
Pm  0.824  0.425  0.581
Pm  0.927  0.672  0.069
Pm  0.931  0.073  0.328
Al  0.000  0.000  0.000
Pt  0.139  0.314  0.612
Pt  0.314  0.612  0.139
Pt  0.388  0.861  0.686
Pt  0.612  0.139  0.314
Pt  0.686  0.388  0.861
Pt  0.861  0.686  0.388

Calculated values
SG = R-3
Energy of formation = -12.7 eV/f.u.

Record 6
# TaP

An optimized crystal structure of TaP (GGA-PBE, Alexandria).

abc: 3.144 4.293 9.685
angles: 90.00 90.00 90.00
Element x y z (fractional)
Ta  0.000  0.250  0.108
Ta  0.000  0.750  0.892
Ta  0.500  0.250  0.392
Ta  0.500  0.750  0.608
P  0.000  0.250  0.598
P  0.000  0.750  0.402
P  0.500  0.250  0.902
P  0.500  0.750  0.098

Calculated values
SG = Imma
Energy of formation = -0.6 eV/f.u.

Record 7
# Zn3Cu8Rh

An optimized crystal structure of Zn3Cu8Rh (GGA-PBE, Alexandria).

abc: 6.368 6.368 6.368
angles: 116.95 116.95 95.37
Element x y z (fractional)
Zn  0.000  0.000  0.000
Zn  0.250  0.750  0.500
Zn  0.750  0.250  0.500
Cu  0.106  0.106  0.732
Cu  0.226  0.226  0.488
Cu  0.262  0.774  0.000
Cu  0.374  0.374  0.268
Cu  0.626  0.894  0.000
Cu  0.738  0.738  0.512
Cu  0.774  0.262  0.000
Cu  0.894  0.626  0.000
Rh  0.500  0.500  0.000

Calculated values
SG = I-42m
Energy of formation = 5.0 eV/f.u.

Record 8
# Ac6Cd2Ni

An optimized crystal structure of Ac6Cd2Ni (GGA-PBE, Alexandria).

abc: 7.462 7.970 13.584
angles: 90.00 122.42 90.00
Element x y z (fractional)
Ac  0.142  0.005  0.246
Ac  0.142  0.495  0.746
Ac  0.225  0.683  0.039
Ac  0.225  0.817  0.539
Ac  0.356  0.193  0.041
Ac  0.356  0.307  0.541
Ac  0.644  0.693  0.459
Ac  0.644  0.807  0.959
Ac  0.775  0.183  0.461
Ac  0.775  0.317  0.961
Ac  0.858  0.505  0.254
Ac  0.858  0.995  0.754
Cd  0.310  0.091  0.754
Cd  0.310  0.409  0.254
Cd  0.690  0.591  0.746
Cd  0.690  0.909  0.246
Ni  0.000  0.000  0.000
Ni  0.000  0.500  0.500

Calculated values
SG = P2_1/c
Energy of formation = -1.2 eV/f.u.

Record 9
# Si2BiP

An optimized crystal structure of Si2BiP (GGA-PBE, Alexandria).

abc: 6.801 6.801 6.801
angles: 90.00 90.00 90.00
Element x y z (fractional)
Si  0.250  0.250  0.250
Si  0.250  0.250  0.750
Si  0.250  0.750  0.250
Si  0.250  0.750  0.750
Si  0.750  0.250  0.250
Si  0.750  0.250  0.750
Si  0.750  0.750  0.250
Si  0.750  0.750  0.750
Bi  0.000  0.000  0.000
Bi  0.000  0.500  0.500
Bi  0.500  0.000  0.500
Bi  0.500  0.500  0.000
P  0.000  0.000  0.500
P  0.000  0.500  0.000
P  0.500  0.000  0.000
P  0.500  0.500  0.500

Calculated values
SG = Fm-3m
Energy = -4.296 eV per atom

Record 10
# YNbBi3

An optimized crystal structure of YNbBi3 (GGA-PBE, Alexandria).

abc: 5.511 5.511 5.511
angles: 90.00 90.00 90.00
Element x y z (fractional)
Y  0.000  0.000  0.000
Nb  0.500  0.500  0.500
Bi  0.000  0.500  0.500
Bi  0.500  0.000  0.500
Bi  0.500  0.500  0.000

Calculated values
SG = Pm-3m
Energy of formation = 1.7 eV/f.u.

Record 11
# Rb2P2AuS6

An optimized crystal structure of Rb2P2AuS6 (GGA-PBE, Alexandria).

abc: 8.279 8.279 8.279
angles: 49.59 49.59 49.59
Element x y z (fractional)
Rb  0.230  0.230  0.230
Rb  0.770  0.770  0.770
P  0.426  0.426  0.426
P  0.574  0.574  0.574
Au  0.000  0.000  0.000
S  0.251  0.251  0.748
S  0.251  0.748  0.251
S  0.252  0.749  0.749
S  0.748  0.251  0.251
S  0.749  0.252  0.749
S  0.749  0.749  0.252

Calculated values
SG = R-3m
Energy = -4.180 eV per atom

Record 12
# PrSm2Er9

An optimized crystal structure of PrSm2Er9 (GGA-PBE, Alexandria).

abc: 11.200 11.200 3.511
angles: 90.00 90.00 120.00
Element x y z (fractional)
Pr  0.000  0.000  0.000
Sm  0.333  0.667  0.000
Sm  0.667  0.333  0.000
Er  0.000  0.500  0.000
Er  0.177  0.354  0.500
Er  0.177  0.823  0.500
Er  0.354  0.177  0.500
Er  0.500  0.000  0.000
Er  0.500  0.500  0.000
Er  0.646  0.823  0.500
Er  0.823  0.177  0.500
Er  0.823  0.646  0.500

Calculated values
SG = P6/mmm
Energy of formation = 0.6 eV/f.u.

Record 13
# Sc2CoTeAs

An optimized crystal structure of Sc2CoTeAs (GGA-PBE, Alexandria).

abc: 5.291 5.291 5.319
angles: 90.00 90.00 90.00
Element x y z (fractional)
Sc  0.000  0.500  0.000
Sc  0.500  0.000  0.000
Co  0.000  0.000  0.500
Te  0.500  0.500  0.000
As  0.500  0.500  0.500

Calculated values
SG = P4/mmm
Energy = -4.686 eV per atom

Record 14
# PrSm6Er2

An optimized crystal structure of PrSm6Er2 (GGA-PBE, Alexandria).

abc: 3.616 8.840 9.550
angles: 90.28 100.91 90.07
Element x y z (fractional)
Pr  0.000  0.000  0.000
Sm  0.110  0.664  0.220
Sm  0.221  0.335  0.442
Sm  0.333  0.001  0.666
Sm  0.667  0.999  0.334
Sm  0.779  0.665  0.558
Sm  0.890  0.336  0.780
Er  0.445  0.665  0.889
Er  0.555  0.335  0.111

Calculated values
SG = P-1
Energy of formation = 0.2 eV/f.u.

Record 15
# CdSi3Au

An optimized crystal structure of CdSi3Au (GGA-PBE, Alexandria).

abc: 4.918 4.918 4.918
angles: 90.00 90.00 90.00
Element x y z (fractional)
Cd  0.000  0.000  0.000
Si  0.000  0.500  0.500
Si  0.500  0.000  0.500
Si  0.500  0.500  0.000
Au  0.500  0.500  0.500

Calculated values
SG = Pm-3m
Energy = -3.208 eV per atom

Record 16
# CrAu3

An optimized crystal structure of CrAu3 (GGA-PBE, Alexandria).

abc: 3.445 3.445 5.926
angles: 90.00 90.00 90.00
Element x y z (fractional)
Cr  0.000  0.000  0.000
Au  0.000  0.000  0.500
Au  0.500  0.500  0.241
Au  0.500  0.500  0.759

Calculated values
SG = P4/mmm
Energy of formation = 0.3 eV/f.u.

Record 17
# LaDy2TmTh

An optimized crystal structure of LaDy2TmTh (GGA-PBE, Alexandria).

abc: 3.520 5.659 8.716
angles: 90.00 90.00 90.00
Element x y z (fractional)
La  0.000  0.000  0.000
Dy  0.000  0.500  0.322
Dy  0.000  0.500  0.678
Tm  0.500  0.000  0.500
Th  0.500  0.500  0.000

Calculated values
SG = Pmmm
Energy of formation = 1.5 eV/f.u.

Record 18
# Er2AsSe

An optimized crystal structure of Er2AsSe (GGA-PBE, Alexandria).

abc: 4.060 4.060 19.978
angles: 90.00 90.00 120.00
Element x y z (fractional)
Er  0.000  0.000  0.246
Er  0.000  0.000  0.754
Er  0.333  0.667  0.421
Er  0.333  0.667  0.912
Er  0.667  0.333  0.088
Er  0.667  0.333  0.579
As  0.000  0.000  0.500
As  0.333  0.667  0.167
As  0.667  0.333  0.833
Se  0.000  0.000  0.000
Se  0.333  0.667  0.667
Se  0.667  0.333  0.333

Calculated values
SG = R-3m
Energy = -5.988 eV per atom

Record 19
# CuPtAu2

An optimized crystal structure of CuPtAu2 (GGA-PBE, Alexandria).

abc: 2.882 2.882 7.682
angles: 90.00 90.00 90.00
Element x y z (fractional)
Cu  0.000  0.000  0.000
Pt  0.000  0.000  0.500
Au  0.500  0.500  0.233
Au  0.500  0.500  0.767

Calculated values
SG = P4/mmm
Energy of formation = 0.0 eV/f.u.

Record 20
# BaOsPt

An optimized crystal structure of BaOsPt (GGA-PBE, Alexandria).

abc: 4.241 5.030 7.627
angles: 90.00 90.00 90.00
Element x y z (fractional)
Ba  0.000  0.000  0.000
Ba  0.500  0.000  0.500
Os  0.000  0.500  0.350
Os  0.000  0.500  0.650
Pt  0.500  0.500  0.172
Pt  0.500  0.500  0.828

Calculated values
SG = Pmmm
Energy of formation = 0.0 eV/f.u.